8
Lattice="7.438 0.000 0.000 0.000 7.438 0.000 3.719 3.719 4.050" Properties=species:S:1:pos:R:3 comment="CsMoIr2 (PBE, optimized geometry)" crystal_system=tetragonal magnetic_moment_mub_per_atom=0.000 e_form_mev_per_atom=1100 pbc="T T T"
Ir 4.854 1.860 1.013
Mo 3.719 7.438 2.025
Ir 2.585 5.579 1.013
Ir 9.298 8.573 3.038
Cs 7.438 3.719 2.025
Mo 3.719 3.719 0.000
Cs 0.000 0.000 0.000
Ir 5.579 6.304 3.038

10
Lattice="-0.025 -5.607 -3.989 2.221 -3.782 5.303 -3.644 -0.710 1.020" Properties=species:S:1:pos:R:3 comment="Zr2AlV2 (PBE, optimized geometry)" crystal_system=tetragonal magnetic_moment_mub_per_atom=0.000 e_form_mev_per_atom=-33 pbc="T T T"
Zr -1.437 -2.836 0.158
Al 0.000 0.000 0.000
V 1.358 -7.277 -0.210
V 0.838 -2.113 1.524
Zr -1.124 -6.194 -1.060
V 1.942 -5.447 3.149
Zr -0.323 -3.906 3.394
V 0.254 -3.943 -1.835
Zr -0.010 -7.263 2.176
Al 1.098 -4.695 0.657

19
Lattice="-5.782 1.193 -3.454 0.427 -5.327 -4.269 -4.015 -4.265 3.533" Properties=species:S:1:pos:R:3 comment="Pu2Zn16Au (PBE, optimized geometry)" crystal_system=trigonal magnetic_moment_mub_per_atom=0.587 e_form_mev_per_atom=-166 pbc="T T T"
Zn -5.425 -7.656 -0.495
Pu -6.192 -5.550 -2.769
Zn -6.668 -3.817 -5.409
Zn -2.001 -2.124 1.748
Zn -8.476 -3.385 -2.233
Zn -4.109 -3.359 -4.430
Zn -2.878 0.583 -1.718
Pu -3.173 -2.844 -1.419
Au -8.421 -7.548 -3.766
Zn -5.264 -5.042 0.243
Zn -6.125 -2.382 -3.163
Zn -0.982 -0.880 -0.439
Zn -7.953 -5.001 -0.163
Zn -4.829 -5.748 -5.650
Zn -4.110 -7.970 -2.806
Zn -3.099 -5.560 -3.560
Zn 0.202 -2.651 -2.122
Zn -6.270 -2.842 -0.634
Zn -3.249 -6.014 -1.031

13
Lattice="-4.129 3.398 -3.468 -1.413 -1.808 -5.946 -10.529 -5.915 0.884" Properties=species:S:1:pos:R:3 comment="Na3Mg2Tl8 (PBE, optimized geometry)" crystal_system=trigonal de_polymorph_mev_per_atom=65.3 magnetic_moment_mub_per_atom=0.000 e_form_mev_per_atom=28 pbc="T T T"
Tl -5.275 -2.406 -4.847
Tl -7.350 -0.698 -6.590
Tl -6.640 0.211 -3.601
Na 0.000 0.000 0.000
Mg -11.560 -4.779 -2.632
Mg -4.511 0.454 -5.898
Tl -10.796 -1.919 -3.683
Na -5.665 -2.304 -1.369
Tl -8.721 -3.627 -1.940
Tl -12.859 -3.842 -6.024
Na -10.406 -2.021 -7.161
Tl -9.431 -4.536 -4.929
Tl -3.212 -0.483 -2.506

12
Lattice="-2.543 0.787 -0.924 4.921 2.316 -7.220 -3.982 -9.294 3.006" Properties=species:S:1:pos:R:3 comment="Cd2Pd5Pt5 (PBE, optimized geometry)" crystal_system=triclinic magnetic_moment_mub_per_atom=0.000 e_form_mev_per_atom=-98 pbc="T T T"
Pt -0.449 0.485 -2.637
Pt -1.155 -6.677 -2.500
Pd 0.000 0.000 0.000
Pd -0.045 -2.217 -1.735
Pd -3.289 -6.457 -0.736
Pt -3.263 -4.254 1.041
Pt -1.156 -4.546 -0.702
Pt -0.448 -1.645 -4.435
Cd 1.300 0.785 -7.185
Cd -2.904 -6.976 2.047
Pd -1.559 -3.975 -3.402
Pd 1.685 0.266 -4.402

10
Lattice="4.452 0.000 0.000 0.000 8.188 -3.114 -2.226 -5.145 10.366" Properties=species:S:1:pos:R:3 comment="CaTl5Hg4 (PBE, optimized geometry)" crystal_system=monoclinic de_polymorph_mev_per_atom=12.7 magnetic_moment_mub_per_atom=0.000 e_form_mev_per_atom=-71 pbc="T T T"
Hg 2.226 -3.108 9.540
Tl 2.226 4.094 -1.557
Tl 0.000 4.824 0.997
Tl 2.226 -1.782 6.255
Hg 0.000 6.150 -2.288
Ca 2.226 0.000 0.000
Tl 2.226 1.723 4.867
Hg 2.226 -1.025 3.173
Tl 0.000 1.319 2.385
Hg 0.000 4.067 4.079